# PBE with a Hubbard U Fe2HCl2O2, relaxed
data_Fe2HCl2O2
_chemical_formula_sum 'Fe4 H2 Cl4 O4'
_space_group_name_H-M_alt 'C 1 2/m 1'
_space_group_IT_number 12
_space_group_name_Hall '-C 2y'
_cell_length_a 9.0485
_cell_length_b 3.2527
_cell_length_c 8.7141
_cell_angle_alpha 90.00
_cell_angle_beta 95.28
_cell_angle_gamma 90.00
loop_
_atom_site_label
_atom_site_fract_x
_atom_site_fract_y
_atom_site_fract_z
_atom_site_occupancy
Fe1 0.2418 0.0000 0.1409 1
H1 0.0000 0.5000 0.0000 1
Cl1 0.1514 0.0000 0.6787 1
O1 0.1319 0.5000 0.0397 1
# DOS at the Fermi energy, states/eV/cell: 2.88
# Total DFT energy (no corrections), eV/atom: -5.08